KCrHg, optimized geometry, DFT GGA-PBE; theoretical density = 4.733 g cm⁻³; DFT formation energy = 0.681 eV/atom; SG = F-43m (216); offset from the most stable computed form = 208.7 meV/atom; V = 34.1 Å³/atom
1.0
5.250 0.000 0.000
2.625 4.547 0.000
2.625 1.516 4.287
Cr Hg K
1 1 1
Cartesian
5.250 3.031 2.143 Cr
7.875 4.547 3.215 Hg
0.000 0.000 0.000 K

***

Nd2Pa2Pt15, optimized geometry, DFT GGA-PBE; theoretical density = 17.220 g cm⁻³; DFT formation energy = -0.698 eV/atom; SG = R-3m (166); V = 18.7 Å³/atom
1.0
-0.428 -7.132 0.187
0.919 -1.279 -6.972
6.996 -1.458 0.124
Nd Pa Pt
2 2 15
Cartesian
2.683 -3.537 -2.387 Nd
4.804 -6.332 -4.273 Nd
0.763 -1.006 -0.679 Pa
6.724 -8.864 -5.982 Pa
-0.214 -3.566 0.093 Pt
3.498 -0.729 0.062 Pt
0.460 -0.640 -3.486 Pt
2.800 -1.335 -4.776 Pt
-0.011 -5.321 -2.029 Pt
4.698 -3.214 0.144 Pt
0.502 -3.091 -4.756 Pt
1.870 -5.376 0.168 Pt
5.115 -1.403 -2.072 Pt
5.115 -2.912 -4.454 Pt
1.420 -5.736 -4.423 Pt
4.445 -5.825 -0.890 Pt
2.372 -6.958 -2.207 Pt
6.068 -4.133 -2.238 Pt
3.042 -4.044 -5.770 Pt

***

AcMgAuO4, optimized geometry, DFT GGA-PBE; theoretical density = 7.508 g cm⁻³; ΔE_f (raw) = -1.717 eV per atom; SG = Cmcm (63); V = 16.2 Å³/atom
1.0
5.632 0.108 0.000
-2.163 5.201 0.000
0.000 0.000 7.675
Ac Mg Au O
2 2 2 8
Cartesian
1.734 2.655 3.837 Ac
1.734 2.655 0.000 Ac
4.645 0.753 1.919 Mg
-1.176 4.556 5.756 Mg
-0.624 4.195 1.919 Au
4.092 1.114 5.756 Au
0.903 1.314 5.756 O
2.628 3.954 5.756 O
3.900 1.240 0.080 O
3.900 1.240 3.757 O
-0.431 4.069 7.595 O
-0.431 4.069 3.917 O
2.566 3.995 1.919 O
0.841 1.355 1.919 O